No. 1
The following is a DFT calculation (GGA-PBE) of an optimized crystal structure of OsAu.

Output
Offset from the most stable computed form (kJ per mole of atoms): 35.7
Energy of formation from the pure elements (kJ/mol of atoms): 63.1

The structure in CIF format:
```
data_OsAu
_chemical_formula_sum 'Os8 Au8'
_space_group_name_H-M_alt 'P 21 21 21'
_space_group_IT_number 19
_space_group_name_Hall 'P 2ac 2ab'
_cell_length_a 5.8420
_cell_length_b 6.6509
_cell_length_c 7.4238
_cell_angle_alpha 90.00
_cell_angle_beta 90.00
_cell_angle_gamma 90.00
loop_
_atom_site_label
_atom_site_type_symbol
_atom_site_fract_x
_atom_site_fract_y
_atom_site_fract_z
Os1 Os 0.0797 0.0869 0.1049
Os2 Os 0.2202 0.8308 0.3219
Au1 Au 0.0886 0.1964 0.4792
Au2 Au 0.1937 0.5576 0.6905
```

No. 2
The following is a DFT calculation (GGA-PBE) of an optimized crystal structure of NdSm4Tm7.

Output
Offset from the most stable computed form (kJ per mole of atoms): 0.0
Energy of formation from the pure elements (kJ/mol of atoms): 0.8

The structure in CIF format:
```
data_NdSm4Tm7
_chemical_formula_sum 'Nd1 Sm4 Tm7'
_space_group_name_H-M_alt 'P -1'
_space_group_IT_number 2
_space_group_name_Hall '-P 1'
_cell_length_a 6.2167
_cell_length_b 7.1564
_cell_length_c 8.8145
_cell_angle_alpha 89.93
_cell_angle_beta 76.40
_cell_angle_gamma 89.97
loop_
_atom_site_label
_atom_site_type_symbol
_atom_site_fract_x
_atom_site_fract_y
_atom_site_fract_z
Nd1 Nd 0.0000 0.0000 0.0000
Sm1 Sm 0.2223 0.4992 0.3321
Sm2 Sm 0.2790 0.7508 0.6643
Tm1 Tm 0.0000 0.5000 0.0000
Tm2 Tm 0.2219 0.9995 0.3331
Tm3 Tm 0.2777 0.2487 0.6667
Tm4 Tm 0.4991 0.2482 0.9992
```

No. 3
The following is a DFT calculation (GGA-PBE) of an optimized crystal structure of NdZn4Ru.

Output
Offset from the most stable computed form (kJ per mole of atoms): 1.0
Energy of formation from the pure elements (kJ/mol of atoms): -21.5

The structure in CIF format:
```
data_NdZn4Ru
_chemical_formula_sum 'Nd4 Zn16 Ru4'
_space_group_name_H-M_alt 'F -4 3 m'
_space_group_IT_number 216
_space_group_name_Hall 'F -4 2 3'
_cell_length_a 7.3650
_cell_length_b 7.3650
_cell_length_c 7.3650
_cell_angle_alpha 90.00
_cell_angle_beta 90.00
_cell_angle_gamma 90.00
loop_
_atom_site_label
_atom_site_type_symbol
_atom_site_fract_x
_atom_site_fract_y
_atom_site_fract_z
Nd1 Nd 0.0000 0.0000 0.0000
Zn1 Zn 0.1231 0.1231 0.6231
Ru1 Ru 0.2500 0.2500 0.2500
```

No. 4
The following is a DFT calculation (GGA-PBE) of an optimized crystal structure of ScBiTe2C.

Output
Formation energy (no corrections) (meV/atom): 1117.2

The structure in CIF format:
```
data_ScBiTe2C
_chemical_formula_sum 'Sc1 Bi1 Te2 C1'
_space_group_name_H-M_alt 'P 4/m m m'
_space_group_IT_number 123
_space_group_name_Hall '-P 4 2'
_cell_length_a 5.9568
_cell_length_b 5.9568
_cell_length_c 4.3639
_cell_angle_alpha 90.00
_cell_angle_beta 90.00
_cell_angle_gamma 90.00
loop_
_atom_site_label
_atom_site_type_symbol
_atom_site_fract_x
_atom_site_fract_y
_atom_site_fract_z
Sc1 Sc 0.0000 0.0000 0.0000
Bi1 Bi 0.5000 0.5000 0.5000
Te1 Te 0.0000 0.5000 0.5000
C1 C 0.5000 0.5000 0.0000
```

No. 5
The following is a DFT calculation (GGA-PBE) of an optimized crystal structure of K3Y3SbTe8.

Output
Formation energy (no corrections) (meV/atom): -1112.1

The structure in CIF format:
```
data_K3Y3SbTe8
_chemical_formula_sum 'K6 Y6 Sb2 Te16'
_space_group_name_H-M_alt 'C 1 2/m 1'
_space_group_IT_number 12
_space_group_name_Hall '-C 2y'
_cell_length_a 15.3700
_cell_length_b 8.8560
_cell_length_c 9.8668
_cell_angle_alpha 90.00
_cell_angle_beta 121.35
_cell_angle_gamma 90.00
loop_
_atom_site_label
_atom_site_type_symbol
_atom_site_fract_x
_atom_site_fract_y
_atom_site_fract_z
K1 K 0.0000 0.0000 0.0000
K2 K 0.2500 0.2500 0.0000
Y1 Y 0.0000 0.5000 0.5000
Y2 Y 0.2500 0.2500 0.5000
Sb1 Sb 0.0000 0.0000 0.5000
Te1 Te 0.0144 0.2479 0.2958
Te2 Te 0.2334 0.0000 0.7044
Te3 Te 0.2365 0.5000 0.7093
```

No. 6
The following is a DFT calculation (GGA-PBE) of an optimized crystal structure of Ga2SbAs.

Output
Formation energy (no corrections) (meV/atom): -245.7

The structure in CIF format:
```
data_Ga2SbAs
_chemical_formula_sum 'Ga8 Sb4 As4'
_space_group_name_H-M_alt 'I -4 2 d'
_space_group_IT_number 122
_space_group_name_Hall 'I -4 2bw'
_cell_length_a 5.9845
_cell_length_b 5.9845
_cell_length_c 11.9263
_cell_angle_alpha 90.00
_cell_angle_beta 90.00
_cell_angle_gamma 90.00
loop_
_atom_site_label
_atom_site_type_symbol
_atom_site_fract_x
_atom_site_fract_y
_atom_site_fract_z
Ga1 Ga 0.2258 0.2500 0.1250
Sb1 Sb 0.0000 0.0000 0.5000
As1 As 0.0000 0.0000 0.0000
```

No. 7
The following is a DFT calculation (GGA-PBE) of an optimized crystal structure of Hg2Bi3Pb6.

Output
Offset from the most stable computed form (kJ per mole of atoms): 0.0
Energy of formation from the pure elements (kJ/mol of atoms): 4.4

The structure in CIF format:
```
data_Hg2Bi3Pb6
_chemical_formula_sum 'Hg2 Bi3 Pb6'
_space_group_name_H-M_alt 'P -1'
_space_group_IT_number 2
_space_group_name_Hall '-P 1'
_cell_length_a 6.1571
_cell_length_b 7.0261
_cell_length_c 9.0855
_cell_angle_alpha 96.24
_cell_angle_beta 97.83
_cell_angle_gamma 113.02
loop_
_atom_site_label
_atom_site_type_symbol
_atom_site_fract_x
_atom_site_fract_y
_atom_site_fract_z
Hg1 Hg 0.0239 0.0902 0.3468
Bi1 Bi 0.4867 0.2854 0.8193
Bi2 Bi 0.5000 0.5000 0.5000
Pb1 Pb 0.0243 0.2651 0.0145
Pb2 Pb 0.0319 0.6290 0.3451
Pb3 Pb 0.4764 0.8115 0.8174
```

No. 8
The following is a DFT calculation (GGA-PBE) of an optimized crystal structure of Pr3Nd6Sm2In.

Output
Energy of formation from the pure elements (kJ/mol of atoms): -4.2

The structure in CIF format:
```
data_Pr3Nd6Sm2In
_chemical_formula_sum 'Pr6 Nd12 Sm4 In2'
_space_group_name_H-M_alt 'C 1 2/m 1'
_space_group_IT_number 12
_space_group_name_Hall '-C 2y'
_cell_length_a 6.2855
_cell_length_b 10.9342
_cell_length_c 12.0380
_cell_angle_alpha 90.00
_cell_angle_beta 100.30
_cell_angle_gamma 90.00
loop_
_atom_site_label
_atom_site_type_symbol
_atom_site_fract_x
_atom_site_fract_y
_atom_site_fract_z
Pr1 Pr 0.0000 0.0000 0.0000
Pr2 Pr 0.0000 0.3306 0.0000
Nd1 Nd 0.2428 0.3376 0.7438
Nd2 Nd 0.2435 0.5000 0.2543
Sm1 Sm 0.0000 0.1660 0.5000
In1 In 0.0000 0.5000 0.5000
```

No. 9
The following is a DFT calculation (GGA-PBE) of an optimized crystal structure of SmSi3Pt2.

Output
Formation energy (no corrections) (meV/atom): -803.9

The structure in CIF format:
```
data_SmSi3Pt2
_chemical_formula_sum 'Sm4 Si12 Pt8'
_space_group_name_H-M_alt 'C 1 2/m 1'
_space_group_IT_number 12
_space_group_name_Hall '-C 2y'
_cell_length_a 15.1166
_cell_length_b 4.1096
_cell_length_c 7.3335
_cell_angle_alpha 90.00
_cell_angle_beta 107.61
_cell_angle_gamma 90.00
loop_
_atom_site_label
_atom_site_type_symbol
_atom_site_fract_x
_atom_site_fract_y
_atom_site_fract_z
Sm1 Sm 0.1438 0.0000 0.1001
Si1 Si 0.0224 0.0000 0.6643
Si2 Si 0.1479 0.5000 0.7875
Si3 Si 0.1648 0.5000 0.4390
Pt1 Pt 0.0094 0.5000 0.1965
Pt2 Pt 0.1936 0.0000 0.6627
```

No. 10
The following is a DFT calculation (GGA-PBE) of an optimized crystal structure of AcGa3CuPt.

Output
Energy of formation from the pure elements (kJ/mol of atoms): -42.9

The structure in CIF format:
```
data_AcGa3CuPt
_chemical_formula_sum 'Ac4 Ga12 Cu4 Pt4'
_space_group_name_H-M_alt 'C m c m'
_space_group_IT_number 63
_space_group_name_Hall '-C 2c 2'
_cell_length_a 6.5189
_cell_length_b 12.3307
_cell_length_c 6.4475
_cell_angle_alpha 90.00
_cell_angle_beta 90.00
_cell_angle_gamma 90.00
loop_
_atom_site_label
_atom_site_type_symbol
_atom_site_fract_x
_atom_site_fract_y
_atom_site_fract_z
Ac1 Ac 0.0000 0.2454 0.2500
Ga1 Ga 0.0000 0.1972 0.7500
Ga2 Ga 0.2186 0.5000 0.0000
Cu1 Cu 0.0000 0.0118 0.7500
Pt1 Pt 0.0000 0.3908 0.7500
```

No. 11
The following is a DFT calculation (GGA-PBE) of an optimized crystal structure of AcFeCl.

Output
Formation energy (no corrections) (meV/atom): -979.5

The structure in CIF format:
```
data_AcFeCl
_chemical_formula_sum 'Ac2 Fe2 Cl2'
_space_group_name_H-M_alt 'P 1'
_space_group_IT_number 1
_space_group_name_Hall 'P 1'
_cell_length_a 4.1345
_cell_length_b 4.1347
_cell_length_c 11.7949
_cell_angle_alpha 99.88
_cell_angle_beta 90.14
_cell_angle_gamma 119.98
loop_
_atom_site_label
_atom_site_type_symbol
_atom_site_fract_x
_atom_site_fract_y
_atom_site_fract_z
Ac1 Ac 0.0000 0.0000 0.0000
Ac2 Ac 0.1251 0.2451 0.3732
Fe1 Fe 0.3963 0.7894 0.1867
Fe2 Fe 0.7297 0.4562 0.1867
Cl1 Cl 0.6116 0.2259 0.8362
Cl2 Cl 0.8465 0.6864 0.5370
```

no.,DOS at the Fermi energy (states/eV per atom),total magnetic moment (Bohr magnetons per cell)
1,0.71,0.000
2,1.31,0.000
3,0.65,0.002
4,0.66,1.974
5,0.41,0.000
6,0.00,0.000
7,0.48,0.000
8,1.32,0.000
9,0.40,0.000
10,0.40,0.000
11,0.41,2.356